DFT (PBE) results for a relaxed structure of CaLa2W.

Results
**Calculated density**: 7.51 g cm⁻³
**Energy relative to the lowest polymorph listed for this composition**: 280 meV per atom
**Energy**: -5.50 eV per atom
**Calculated formation energy**: 703 meV per atom

Cell lengths 5.8760, 5.8760, 5.8760 Å; angles 131.63, 131.63, 70.81 degrees
Fractional coordinates of all 4 atoms:
W 0.5000 0.5000 0.0000
La 0.0000 0.0000 0.0000
La 0.2500 0.7500 0.5000
Ca 0.7500 0.2500 0.5000

DFT (PBE) results for a relaxed structure of CaLaW.

Results
**Calculated density**: 7.83 g cm⁻³
**Energy relative to the lowest polymorph listed for this composition**: 143 meV per atom
**Energy**: -5.72 eV per atom
**Calculated formation energy**: 904 meV per atom

Cell lengths 3.1670, 3.1670, 8.8636 Å; angles 90.00, 90.00, 120.00 degrees
Fractional coordinates of all 3 atoms:
W 0.3333 0.6667 0.6738
La 0.6667 0.3333 0.3669
Ca 0.0000 0.0000 0.9593

DFT (PBE) results for a relaxed structure of CaLaW2.

Results
**Calculated density**: 8.95 g cm⁻³
**Energy relative to the lowest polymorph listed for this composition**: 0 meV per atom
**Energy**: -7.78 eV per atom
**Calculated formation energy**: 429 meV per atom

Cell lengths 3.3395, 3.3395, 9.0909 Å; angles 90.00, 90.00, 90.00 degrees
Fractional coordinates of all 4 atoms:
W 0.5000 0.5000 0.1923
La 0.5000 0.5000 0.8113
W 0.0000 0.0000 0.0601
Ca 0.0000 0.0000 0.4363

DFT (PBE) results for a relaxed structure of Ca2LaW.

Results
**Calculated density**: 5.82 g cm⁻³
**Energy relative to the lowest polymorph listed for this composition**: 415 meV per atom
**Energy**: -4.43 eV per atom
**Calculated formation energy**: 1037 meV per atom

Cell lengths 4.4570, 4.4570, 11.9992 Å; angles 79.30, 79.30, 90.00 degrees
Fractional coordinates of all 8 atoms:
La 0.5000 0.5000 0.0000
W 0.0000 0.0000 0.0000
W 0.7500 0.2500 0.5000
Ca 0.3750 0.3528 0.7500
Ca 0.8750 0.8972 0.7500
La 0.2500 0.7500 0.5000
Ca 0.1028 0.6250 0.2500
Ca 0.6472 0.1250 0.2500

DFT (PBE) results for a relaxed structure of CaLaW.

Results
**Calculated density**: 7.39 g cm⁻³
**Energy relative to the lowest polymorph listed for this composition**: 0 meV per atom
**Energy**: -5.87 eV per atom
**Calculated formation energy**: 761 meV per atom

Cell lengths 8.5078, 8.3308, 3.2387 Å; angles 82.00, 75.85, 22.15 degrees
Fractional coordinates of all 3 atoms:
W 0.6700 0.6700 0.3300
Ca 0.0255 0.0255 0.9745
La 0.3045 0.3045 0.6955

DFT (PBE) results for a relaxed structure of Ca2LaW.

Results
**Calculated density**: 5.63 g cm⁻³
**Energy relative to the lowest polymorph listed for this composition**: 301 meV per atom
**Energy**: -4.55 eV per atom
**Calculated formation energy**: 924 meV per atom

Cell lengths 3.9335, 3.9335, 7.6824 Å; angles 90.00, 90.00, 90.00 degrees
Last column: magnetic moment on the atom in μB.
Fractional coordinates of all 4 atoms:
W 0.5000 0.5000 0.7500  1.47
Ca 0.0000 0.0000 0.5456  0.02
La 0.5000 0.5000 0.2500  -0.19
Ca 0.0000 0.0000 0.9544  0.02

Q: Number 5 is which compound?
A: CaLaW

Q: Which value of calculated formation energy does entry 4 give?
A: 1037 meV per atom

Q: Which of these has the highest energy?
A: number 4

Q: Which of these has the highest calculated formation energy?
A: number 4